Record 1
Compound: Li2TaMnAs
Source: the Alexandria database
Functional: GGA-PBE
Structure: relaxed

**Total magnetic moment**: 0.0 μB/f.u.
**D(E_F)**: 3.12 states/eV/cell
**E_tot**: -5.05 eV per atom
**Crystal system**: tetragonal

Lattice parameters (Å, degrees): 4.143 4.364 4.143 90.00 90.00 90.00
Sites, in units of the cell vectors:
As 0.000 0.500 0.000
Mn 0.000 0.000 0.000
Li 0.000 0.000 0.500
Li 0.500 0.000 0.000
Ta 0.500 0.500 0.500

Record 2
Compound: Li2MnAsW
Source: the Alexandria database
Functional: GGA-PBE
Structure: relaxed

**Total magnetic moment**: 0.0 μB/f.u.
**D(E_F)**: 8.09 states/eV/cell
**E_tot**: -4.91 eV per atom
**Crystal system**: tetragonal

Lattice parameters (Å, degrees): 4.086 4.359 4.086 90.00 90.00 90.00
Sites, in units of the cell vectors:
As 0.000 0.500 0.000
Mn 0.000 0.000 0.000
W 0.500 0.500 0.500
Li 0.000 0.000 0.500
Li 0.500 0.000 0.000

Record 3
Compound: LiMnAsW2
Source: the Alexandria database
Functional: GGA-PBE
Structure: relaxed

**Total magnetic moment**: 0.2 μB/f.u.
**D(E_F)**: 6.07 states/eV/cell
**E_tot**: -6.88 eV per atom
**Crystal system**: tetragonal

Lattice parameters (Å, degrees): 4.640 4.640 4.024 90.00 90.00 90.00
Sites, in units of the cell vectors:
As 0.000 0.000 0.000
Mn 0.500 0.500 0.500
W 0.000 0.500 0.000
W 0.500 0.000 0.000
Li 0.000 0.000 0.500

Record 4
Compound: LiMoAs2
Source: the Alexandria database
Functional: GGA-PBE
Structure: relaxed

**Total magnetic moment**: 0.0 μB/f.u.
**D(E_F)**: 2.39 states/eV/cell
**E_tot**: -5.37 eV per atom
**Crystal system**: orthorhombic
**Energy above the lowest structure with this stoichiometry**: 470.1 meV per atom

Lattice parameters (Å, degrees): 2.743 2.743 10.095 90.00 90.00 104.04
Sites, in units of the cell vectors:
As 0.000 0.000 0.942
As 0.500 0.500 0.304
Li 0.000 0.000 0.511
Mo 0.500 0.500 0.743

Record 5
Compound: LiMoAs3
Source: the Alexandria database
Functional: GGA-PBE
Structure: relaxed

**Total magnetic moment**: 0.0 μB/f.u.
**D(E_F)**: 3.55 states/eV/cell
**E_tot**: -5.14 eV per atom
**Crystal system**: cubic
**Energy above the lowest structure with this stoichiometry**: 0.0 meV per atom

Lattice parameters (Å, degrees): 4.929 4.929 4.929 90.00 90.00 90.00
Sites, in units of the cell vectors:
Mo 0.000 0.000 0.000
As 0.000 0.500 0.000
As 0.000 0.000 0.500
As 0.500 0.000 0.000
Li 0.500 0.500 0.500

Record 6
Compound: LiMoAs2
Source: the Alexandria database
Functional: GGA-PBE
Structure: relaxed

**Total magnetic moment**: 0.0 μB/f.u.
**D(E_F)**: 3.15 states/eV/cell
**E_tot**: -5.58 eV per atom
**Crystal system**: monoclinic
**Energy above the lowest structure with this stoichiometry**: 260.2 meV per atom

Lattice parameters (Å, degrees): 5.239 2.935 5.185 55.23 90.00 90.00
Sites, in units of the cell vectors:
As 0.000 0.777 0.972
As 0.500 0.971 0.279
Li 0.000 0.768 0.482
Mo 0.500 0.984 0.767

Record 7
Compound: LiMoAs2
Source: the Alexandria database
Functional: GGA-PBE
Structure: relaxed

**Total magnetic moment**: 1.0 μB/f.u.
**D(E_F)**: 1.19 states/eV/cell
**E_tot**: -5.42 eV per atom
**Crystal system**: tetragonal
**Energy above the lowest structure with this stoichiometry**: 420.5 meV per atom

Lattice parameters (Å, degrees): 6.031 6.031 6.934 64.22 64.22 90.00
Sites, in units of the cell vectors:
Mo 0.000 0.000 0.000
Mo 0.750 0.250 0.500
As 0.657 0.125 0.250
As 0.093 0.625 0.250
As 0.375 0.343 0.750
As 0.875 0.907 0.750
Li 0.500 0.500 0.000
Li 0.250 0.750 0.500

Record 8
Compound: LiMoAs2
Source: the Alexandria database
Functional: GGA-PBE
Structure: relaxed

**Total magnetic moment**: 0.0 μB/f.u.
**D(E_F)**: 2.62 states/eV/cell
**E_tot**: -5.83 eV per atom
**Crystal system**: trigonal
**Energy above the lowest structure with this stoichiometry**: 5.9 meV per atom

Lattice parameters (Å, degrees): 7.800 7.800 7.800 24.31 24.31 24.31
Sites, in units of the cell vectors:
Mo 0.750 0.750 0.750
As 0.007 0.007 0.007
As 0.493 0.493 0.493
Li 0.250 0.250 0.250

Record 9
Compound: LiMoAs2
Source: the Alexandria database
Functional: GGA-PBE
Structure: relaxed

**Total magnetic moment**: 0.0 μB/f.u.
**D(E_F)**: 3.04 states/eV/cell
**E_tot**: -5.63 eV per atom
**Crystal system**: monoclinic
**Energy above the lowest structure with this stoichiometry**: 212.6 meV per atom

Lattice parameters (Å, degrees): 4.386 4.386 5.447 75.71 75.71 42.84
Sites, in units of the cell vectors:
As 0.991 0.991 0.038
As 0.509 0.509 0.462
Li 0.750 0.750 0.750
Mo 0.250 0.250 0.250

Record 10
Compound: LiMoAs2
Source: the Alexandria database
Functional: GGA-PBE
Structure: relaxed

**Total magnetic moment**: 0.0 μB/f.u.
**D(E_F)**: 3.33 states/eV/cell
**E_tot**: -5.55 eV per atom
**Crystal system**: tetragonal
**Energy above the lowest structure with this stoichiometry**: 291.7 meV per atom

Lattice parameters (Å, degrees): 4.350 4.348 3.282 90.00 90.00 90.00
Sites, in units of the cell vectors:
As 0.000 0.000 0.000
As 0.500 0.500 0.000
Li 0.500 0.000 0.500
Mo 0.000 0.500 0.500

Record 11
Compound: LiMo2As2
Source: the Alexandria database
Functional: GGA-PBE
Structure: relaxed

**Total magnetic moment**: 0.0 μB/f.u.
**D(E_F)**: 6.84 states/eV/cell
**E_tot**: -6.72 eV per atom
**Crystal system**: tetragonal

Lattice parameters (Å, degrees): 6.936 6.936 3.267 90.00 90.00 90.00
Sites, in units of the cell vectors:
Mo 0.146 0.646 0.500
Mo 0.646 0.854 0.500
Mo 0.854 0.354 0.500
Mo 0.354 0.146 0.500
As 0.350 0.850 0.000
As 0.850 0.650 0.000
As 0.650 0.150 0.000
As 0.150 0.350 0.000
Li 0.000 0.000 0.000
Li 0.500 0.500 0.000

Record 12
Compound: LiMoAs2
Source: the Alexandria database
Functional: GGA-PBE
Structure: relaxed

**Total magnetic moment**: 1.4 μB/f.u.
**D(E_F)**: 4.24 states/eV/cell
**E_tot**: -5.59 eV per atom
**Crystal system**: cubic
**Energy above the lowest structure with this stoichiometry**: 250.2 meV per atom

Lattice parameters (Å, degrees): 4.484 4.484 4.484 60.00 60.00 60.00
Sites, in units of the cell vectors:
Mo 0.500 0.500 0.500
As 0.250 0.250 0.250
As 0.750 0.750 0.750
Li 0.000 0.000 0.000